# MnBe4Ir

A relaxed structure of MnBe4Ir (PBE, Alexandria via LeMat-Bulk).

POSCAR file:
```
MnBe4Ir
1.0
-0.233 -4.199 -0.977
2.214 -2.884 2.329
-2.090 -2.715 2.628
Be Ir Mn
4 1 1
direct
0.375 0.876 0.375
0.375 0.375 0.375
0.876 0.375 0.375
0.375 0.375 0.876
0.750 0.750 0.750
0.000 0.000 0.000
```

Values from the calculation:
As for the energy of formation: -0.4456 eV per atom. The total magnetization comes out at 3.36 Bohr magnetons per cell.

---

# Ca4GaHg

A relaxed structure of Ca4GaHg (PBE, Alexandria via LeMat-Bulk).

POSCAR file:
```
Ca4GaHg
1.0
-0.865 4.854 1.818
1.135 -1.622 4.868
7.139 1.686 -1.094
Ca Ga Hg
4 1 1
direct
0.001 0.497 0.260
0.501 0.997 0.260
0.001 0.497 0.736
0.501 0.998 0.736
0.001 0.997 0.498
0.501 0.497 0.998
```

Values from the calculation:
For the distance to the lowest polymorph of the same formula, the calculation gives 104 meV per atom. As for the energy of formation: -0.2510 eV per atom. The total magnetization comes out at 0.00 Bohr magnetons per cell.

---

# Co2ReMo

A relaxed structure of Co2ReMo (PBE, Alexandria via LeMat-Bulk).

POSCAR file:
```
Co2ReMo
1.0
2.664 0.001 0.000
-0.001 2.664 0.000
0.000 0.000 7.362
Mo Co Re
1 2 1
direct
0.000 0.000 0.475
0.000 0.000 0.010
0.500 0.500 0.235
0.500 0.500 0.779
```

Values from the calculation:
For the distance to the lowest polymorph of the same formula, the calculation gives 146 meV per atom. As for the energy of formation: 0.1046 eV per atom. The total magnetization comes out at 1.45 Bohr magnetons per cell.

---

# Zn4CrRu

A relaxed structure of Zn4CrRu (PBE, Alexandria via LeMat-Bulk).

POSCAR file:
```
Zn4CrRu
1.0
-3.518 -2.453 2.375
-0.842 0.902 4.745
-4.104 2.308 1.366
Zn Cr Ru
4 1 1
direct
0.625 0.124 0.625
0.124 0.625 0.625
0.625 0.625 0.625
0.625 0.625 0.124
0.250 0.250 0.250
0.000 0.000 0.000
```

Values from the calculation:
As for the energy of formation: 0.0852 eV per atom. The total magnetization comes out at 2.36 Bohr magnetons per cell.

---

# TaAlTc2C

A relaxed structure of TaAlTc2C (PBE, Alexandria via LeMat-Bulk).

POSCAR file:
```
TaAlTc2C
1.0
4.169 0.000 0.000
0.000 3.928 0.000
0.000 0.000 4.169
Tc Ta Al C
2 1 1 1
direct
0.500 0.000 0.000
0.000 0.000 0.500
0.500 0.500 0.500
0.000 0.500 0.000
0.000 0.000 0.000
```

Values from the calculation:
As for the energy of formation: 0.1009 eV per atom. The total magnetization comes out at 0.00 Bohr magnetons per cell.

---

# FePI2N

A relaxed structure of FePI2N (PBE, Alexandria via LeMat-Bulk).

POSCAR file:
```
FePI2N
1.0
5.312 0.000 0.000
0.000 5.312 0.000
0.000 0.000 3.490
N I P Fe
1 2 1 1
direct
0.000 0.000 0.500
0.500 0.000 0.000
0.000 0.500 0.000
0.500 0.500 0.500
0.000 0.000 0.000
```

Values from the calculation:
For the distance to the lowest polymorph of the same formula, the calculation gives 0 meV per atom. The total magnetization comes out at 0.00 Bohr magnetons per cell.

---

# KNaAsRh

A relaxed structure of KNaAsRh (PBE, Alexandria via LeMat-Bulk).

POSCAR file:
```
KNaAsRh
1.0
4.170 0.000 0.000
0.000 4.170 0.000
0.000 0.000 13.559
Rh As Na K
2 2 2 2
direct
0.750 0.250 0.000
0.250 0.750 0.000
0.750 0.750 0.902
0.250 0.250 0.098
0.250 0.750 0.500
0.750 0.250 0.500
0.250 0.250 0.773
0.750 0.750 0.227
```

Values from the calculation:
As for the energy of formation: -0.3249 eV per atom. The total magnetization comes out at 0.00 Bohr magnetons per cell.

---

# InPdS6

A relaxed structure of InPdS6 (PBE, Alexandria via LeMat-Bulk).

POSCAR file:
```
InPdS6
1.0
9.702 1.525 3.411
6.873 3.998 3.704
1.604 -0.019 7.439
S Pd In
6 1 1
direct
0.671 0.686 0.088
0.329 0.314 0.912
0.071 0.820 0.363
0.230 0.445 0.159
0.770 0.555 0.841
0.929 0.180 0.637
0.000 0.000 0.000
0.500 0.500 0.500
```

Values from the calculation:
The total energy comes out at -4.16 eV/atom. The total magnetization comes out at 0.00 Bohr magnetons per cell.